(1)
DFT (PBE) results for an optimized crystal structure of Cs2Tl2Zn.

a = 14.5805 Å, b = 5.0921 Å, c = 13.5745 Å
α = 90.00°, β = 118.84°, γ = 90.00°
Last column: nearest neighbours and their distance in Å.
Space group C2/m (No. 12)
Asymmetric unit:
Cs: 0.0228 0.0000 0.1607 x4  3 Zn 3.97-4.24, 7 Tl 4.07-4.37, 1 Cs 4.08
Cs: 0.2061 0.0000 0.6129 x4  6 Tl 3.94-4.28, 2 Zn 4.09
Tl: 0.0027 0.5000 0.6199 x4  1 Zn 2.86
Tl: 0.2081 0.5000 0.0615 x4  3 Zn 2.90-2.96
Zn: 0.1850 0.5000 0.8366 x4  4 Tl 2.86-2.96

Values from the calculation:
M_tot (Bohr magnetons per cell): 0.0
Formation energy (eV per atom): -0.003


(2)
DFT (PBE) results for an optimized crystal structure of Cs2ZrTl.

a = 14.0877 Å, b = 14.0877 Å, c = 5.7036 Å
α = 90.00°, β = 90.00°, γ = 90.00°
Last column: nearest neighbours and their distance in Å.
Space group I-42d (No. 122)
Asymmetric unit:
Cs: 0.0929 0.7500 0.1250 x8  2 Tl 3.82
Zr: 0.0000 0.0000 0.5000 x4  2 Tl 2.85
Tl: 0.0000 0.0000 0.0000 x4  2 Zr 2.85

Values from the calculation:
M_tot (Bohr magnetons per cell): 7.7
Formation energy (eV per atom): 0.777


(3)
DFT (PBE) results for an optimized crystal structure of CsZrTl.

a = 12.4588 Å, b = 3.3973 Å, c = 10.6738 Å
α = 90.00°, β = 90.00°, γ = 90.00°
Last column: nearest neighbours and their distance in Å.
Space group Pnma (No. 62)
Asymmetric unit:
Cs: 0.1477 0.2500 0.0722 x4  2 Cs 3.40, 1 Tl 3.77
Zr: 0.0641 0.2500 0.4184 x4  2 Zr 2.91, 2 Tl 3.14
Tl: 0.1106 0.2500 0.7217 x4  3 Zr 3.14-3.29, 2 Tl 3.40

Values from the calculation:
M_tot (Bohr magnetons per cell): 0.0
Formation energy (eV per atom): 0.440


(4)
DFT (PBE) results for an optimized crystal structure of CsZrTl.

a = 4.0562 Å, b = 4.4336 Å, c = 13.9762 Å
α = 90.63°, β = 90.55°, γ = 90.01°
Last column: nearest neighbours and their distance in Å.
Space group P1 (No. 1)
Asymmetric unit:
Cs: 0.0000 0.0000 0.0000 x1  1 Zr 3.51
Cs: 0.4757 0.4837 0.3337 x1  2 Tl 3.92, 2 Cs 4.06, 2 Zr 4.18-4.24
Zr: 0.4856 0.9799 0.5895 x1  4 Tl 3.01, 2 Zr 3.01
Zr: 0.9908 0.9860 0.7490 x1  2 Zr 3.01, 6 Tl 3.04-3.31
Tl: 0.4919 0.4871 0.7826 x1  4 Zr 3.04
Tl: 0.9850 0.4791 0.5736 x1  6 Zr 3.01-3.31

Values from the calculation:
M_tot (Bohr magnetons per cell): 0.3
Formation energy (eV per atom): 0.159


no.,volume (Å³/cell),N(E_F) (states/eV/f.u.)
1,882.86,3.96
2,1131.97,5.68
3,451.78,3.91
4,251.32,2.29